A plane-wave DFT calculation with SCAN was carried out for Li2MgIr at its PBEsol-relaxed geometry.

abc: 9.240 2.856 4.569
angles: 90.00 101.64 90.00
Space group C2/m (No. 12)
Asymmetric unit:
Li (0.239, 0.000, 0.216) (multiplicity 4)
Mg (0.000, 0.000, 0.500) (multiplicity 2)
Ir (0.000, 0.500, 0.000) (multiplicity 2)

Calculated values
Formation enthalpy at 0 K in eV per formula unit: -0.93
V in Å³/cell: 118
N(E_F) in states/eV/atom: 0.466

=====

A plane-wave DFT calculation with SCAN was carried out for LiMgIr at its PBEsol-relaxed geometry.

abc: 2.921 4.642 13.630
angles: 90.00 90.00 90.00
Space group Fmm2 (No. 42)
Asymmetric unit:
Li (0.000, 0.000, 0.000) (multiplicity 4)
Mg (0.000, 0.000, 0.309) (multiplicity 4)
Ir (0.000, 0.000, 0.651) (multiplicity 4)

Calculated values
Formation enthalpy at 0 K in eV per formula unit: -0.37
V in Å³/cell: 185
N(E_F) in states/eV/atom: 0.447

=====

A plane-wave DFT calculation with SCAN was carried out for Li2MgIr at its PBEsol-relaxed geometry.

abc: 3.060 4.340 8.904
angles: 90.00 90.00 90.00
Space group Immm (No. 71)
Asymmetric unit:
Li (0.000, 0.000, 0.232) (multiplicity 4)
Mg (0.000, 0.500, 0.000) (multiplicity 2)
Ir (0.000, 0.500, 0.500) (multiplicity 2)

Calculated values
Formation enthalpy at 0 K in eV per formula unit: -0.93
V in Å³/cell: 118
N(E_F) in states/eV/atom: 0.346

=====

A plane-wave DFT calculation with SCAN was carried out for Li2MgIr at its PBEsol-relaxed geometry.

abc: 6.137 6.137 6.137
angles: 90.00 90.00 90.00
Space group F-43m (No. 216)
Asymmetric unit:
Li (0.000, 0.000, 0.000) (multiplicity 4)
Li (0.250, 0.250, 0.250) (multiplicity 4)
Mg (0.250, 0.250, 0.750) (multiplicity 4)
Ir (0.000, 0.000, 0.500) (multiplicity 4)

Calculated values
Formation enthalpy at 0 K in eV per formula unit: -0.84
V in Å³/cell: 231
N(E_F) in states/eV/atom: 0.365

=====

A plane-wave DFT calculation with SCAN was carried out for Li2MgIr at its PBEsol-relaxed geometry.

abc: 6.130 6.130 6.130
angles: 90.00 90.00 90.00
Space group P-43m (No. 215)
Asymmetric unit:
Li (0.000, 0.000, 0.000) (multiplicity 1)
Li (0.000, 0.000, 0.500) (multiplicity 3)
Li (0.231, 0.231, 0.769) (multiplicity 4)
Mg (0.000, 0.500, 0.500) (multiplicity 3)
Mg (0.500, 0.500, 0.500) (multiplicity 1)
Ir (0.247, 0.247, 0.247) (multiplicity 4)

Calculated values
Formation enthalpy at 0 K in eV per formula unit: -0.88
V in Å³/cell: 230
N(E_F) in states/eV/atom: 0.394

=====

A plane-wave DFT calculation with SCAN was carried out for LiMg4Ir at its PBEsol-relaxed geometry.

abc: 7.613 7.613 7.613
angles: 90.00 90.00 90.00
Space group F-43m (No. 216)
Asymmetric unit:
Li (0.000, 0.000, 0.000) (multiplicity 4)
Mg (0.124, 0.124, 0.376) (multiplicity 16)
Ir (0.250, 0.250, 0.750) (multiplicity 4)

Calculated values
Formation enthalpy at 0 K in eV per formula unit: 1.26
V in Å³/cell: 441
N(E_F) in states/eV/atom: 0.430

=====

A plane-wave DFT calculation with SCAN was carried out for LiMgIr at its PBEsol-relaxed geometry.

abc: 4.3253 4.3253 2.6534
angles: 90.00 90.00 120.00
Space group P3m1 (No. 156)
Asymmetric unit:
Li (0.0000, 0.0000, 0.0000) (multiplicity 1)
Mg (0.3333, 0.6667, 0.7134) (multiplicity 1)
Ir (0.6667, 0.3333, 0.2830) (multiplicity 1)

Calculated values
Formation enthalpy at 0 K in eV per formula unit: -0.97
V in Å³/cell: 43
N(E_F) in states/eV/atom: 0.672

=====

A plane-wave DFT calculation with SCAN was carried out for LiMnIr2 at its PBEsol-relaxed geometry.

abc: 5.805 5.805 5.805
angles: 90.00 90.00 90.00
Space group Fm-3m (No. 225)
Asymmetric unit:
Li (0.000, 0.000, 0.000) (multiplicity 4)
Mn (0.000, 0.000, 0.500) (multiplicity 4)
Ir (0.250, 0.250, 0.250) (multiplicity 8)

Calculated values
Formation enthalpy at 0 K in eV per formula unit: -1.46
V in Å³/cell: 196
N(E_F) in states/eV/atom: 0.365

=====

A plane-wave DFT calculation with SCAN was carried out for LiMn3Ir at its PBEsol-relaxed geometry.

abc: 3.793 3.793 3.793
angles: 90.00 90.00 90.00
Space group Pm-3m (No. 221)
Asymmetric unit:
Li (0.000, 0.000, 0.000) (multiplicity 1)
Mn (0.000, 0.000, 0.500) (multiplicity 3)
Ir (0.500, 0.500, 0.500) (multiplicity 1)

Calculated values
Formation enthalpy at 0 K in eV per formula unit: 4.94
V in Å³/cell: 55
N(E_F) in states/eV/atom: 0.892

=====

A plane-wave DFT calculation with SCAN was carried out for LiMnIr2 at its PBEsol-relaxed geometry.

abc: 4.088 4.088 2.960
angles: 90.00 90.00 90.00
Space group P4/mmm (No. 123)
Asymmetric unit:
Li (0.000, 0.000, 0.000) (multiplicity 1)
Mn (0.500, 0.500, 0.000) (multiplicity 1)
Ir (0.000, 0.500, 0.500) (multiplicity 2)

Calculated values
Formation enthalpy at 0 K in eV per formula unit: -1.28
V in Å³/cell: 49
N(E_F) in states/eV/atom: 0.550

=====

A plane-wave DFT calculation with SCAN was carried out for Li2MnIr at its PBEsol-relaxed geometry.

abc: 2.759 4.236 4.448
angles: 90.00 90.00 90.00
Space group Pmmm (No. 47)
Asymmetric unit:
Li (0.000, 0.000, 0.000) (multiplicity 1)
Li (0.500, 0.500, 0.000) (multiplicity 1)
Mn (0.000, 0.500, 0.500) (multiplicity 1)
Ir (0.500, 0.000, 0.500) (multiplicity 1)

Calculated values
Formation enthalpy at 0 K in eV per formula unit: -0.87
V in Å³/cell: 52
N(E_F) in states/eV/atom: 0.667

=====

A plane-wave DFT calculation with SCAN was carried out for LiMnIr2 at its PBEsol-relaxed geometry.

abc: 5.307 8.478 2.646
angles: 90.00 116.57 90.00
Space group C2/m (No. 12)
Asymmetric unit:
Li (0.000, 0.000, 0.000) (multiplicity 2)
Mn (0.000, 0.500, 0.000) (multiplicity 2)
Ir (0.250, 0.250, 0.500) (multiplicity 4)

Calculated values
Formation enthalpy at 0 K in eV per formula unit: -1.05
V in Å³/cell: 106
N(E_F) in states/eV/atom: 0.584

=====

A plane-wave DFT calculation with SCAN was carried out for LiMn2Ir at its PBEsol-relaxed geometry.

abc: 2.566 3.813 4.618
angles: 90.00 90.00 90.00
Space group Pmmm (No. 47)
Asymmetric unit:
Li (0.000, 0.000, 0.000) (multiplicity 1)
Mn (0.500, 0.500, 0.221) (multiplicity 2)
Ir (0.000, 0.000, 0.500) (multiplicity 1)

Calculated values
Formation enthalpy at 0 K in eV per formula unit: 0.46
V in Å³/cell: 45
N(E_F) in states/eV/atom: 0.589

=====

A plane-wave DFT calculation with SCAN was carried out for LiTa2MnIr at its PBEsol-relaxed geometry.

abc: 4.356 4.356 3.688
angles: 90.00 90.00 90.00
Space group P4/mmm (No. 123)
Asymmetric unit:
Li (0.000, 0.000, 0.000) (multiplicity 1)
Ta (0.000, 0.500, 0.000) (multiplicity 2)
Mn (0.000, 0.000, 0.500) (multiplicity 1)
Ir (0.500, 0.500, 0.500) (multiplicity 1)

Calculated values
Formation enthalpy at 0 K in eV per formula unit: 4.39
V in Å³/cell: 70
N(E_F) in states/eV/atom: 0.798

=====

A plane-wave DFT calculation with SCAN was carried out for LiMo2Ir at its PBEsol-relaxed geometry.

abc: 6.067 6.067 6.067
angles: 90.00 90.00 90.00
Space group F-43m (No. 216)
Asymmetric unit:
Li (0.000, 0.000, 0.000) (multiplicity 4)
Mo (0.000, 0.000, 0.500) (multiplicity 4)
Mo (0.250, 0.250, 0.750) (multiplicity 4)
Ir (0.250, 0.250, 0.250) (multiplicity 4)

Calculated values
Formation enthalpy at 0 K in eV per formula unit: 0.09
V in Å³/cell: 223
N(E_F) in states/eV/atom: 1.126

=====

A plane-wave DFT calculation with SCAN was carried out for LiMoIr2 at its PBEsol-relaxed geometry.

abc: 2.773 3.514 5.559
angles: 90.00 90.00 90.00
Space group Pmmm (No. 47)
Asymmetric unit:
Li (0.000, 0.000, 0.000) (multiplicity 1)
Mo (0.000, 0.000, 0.500) (multiplicity 1)
Ir (0.500, 0.500, 0.239) (multiplicity 2)

Calculated values
Formation enthalpy at 0 K in eV per formula unit: -1.10
V in Å³/cell: 54
N(E_F) in states/eV/atom: 0.511

=====

A plane-wave DFT calculation with SCAN was carried out for Li2MoIr at its PBEsol-relaxed geometry.

abc: 3.546 3.546 19.222
angles: 90.00 90.00 90.00
Space group I-42d (No. 122)
Asymmetric unit:
Li (0.237, 0.250, 0.125) (multiplicity 8)
Mo (0.000, 0.000, 0.500) (multiplicity 4)
Ir (0.000, 0.000, 0.000) (multiplicity 4)

Calculated values
Formation enthalpy at 0 K in eV per formula unit: 0.84
V in Å³/cell: 242
N(E_F) in states/eV/atom: 0.489

=====

A plane-wave DFT calculation with SCAN was carried out for Li2MoIr at its PBEsol-relaxed geometry.

abc: 2.6380 2.6380 28.1138
angles: 90.00 90.00 120.00
Space group R-3m (No. 166, hexagonal axes)
Asymmetric unit:
Li (0.0000, 0.0000, 0.2437) (multiplicity 6)
Mo (0.0000, 0.0000, 0.0000) (multiplicity 3)
Ir (0.0000, 0.0000, 0.5000) (multiplicity 3)

Calculated values
Formation enthalpy at 0 K in eV per formula unit: 0.34
V in Å³/cell: 169
N(E_F) in states/eV/atom: 0.734

=====

A plane-wave DFT calculation with SCAN was carried out for LiMoIr2 at its PBEsol-relaxed geometry.

abc: 5.634 7.204 2.730
angles: 90.00 90.00 90.00
Space group Cmmm (No. 65)
Asymmetric unit:
Li (0.000, 0.000, 0.000) (multiplicity 2)
Mo (0.000, 0.500, 0.000) (multiplicity 2)
Ir (0.250, 0.250, 0.500) (multiplicity 4)

Calculated values
Formation enthalpy at 0 K in eV per formula unit: -0.58
V in Å³/cell: 111
N(E_F) in states/eV/atom: 0.813

=====

A plane-wave DFT calculation with SCAN was carried out for Li2MoIr at its PBEsol-relaxed geometry.

abc: 2.838 2.838 7.416
angles: 90.00 90.00 90.00
Space group P4mm (No. 99)
Asymmetric unit:
Li (0.000, 0.000, 0.000) (multiplicity 1)
Li (0.500, 0.500, 0.265) (multiplicity 1)
Mo (0.000, 0.000, 0.559) (multiplicity 1)
Ir (0.500, 0.500, 0.778) (multiplicity 1)

Calculated values
Formation enthalpy at 0 K in eV per formula unit: 0.18
V in Å³/cell: 60
N(E_F) in states/eV/atom: 0.566